--- one ---
The following is a PBE-GGA calculation of HgBi6Pb12 after structural relaxation, from Alexandria via LeMat-Bulk.

Lattice parameters (Å, degrees): 9.3095 9.3095 9.3095 107.49 107.49 107.49
With the nearest neighbours (Å) after each atom.
Fractional positions:
Hg1 0.0000 0.0000 0.0000  6 Pb 3.40
Bi1 0.2889 0.6978 0.6978  8 Pb 3.29-3.53
Bi2 0.3022 0.3022 0.7111  8 Pb 3.29-3.53
Bi3 0.3022 0.7111 0.3022  8 Pb 3.29-3.53
Bi4 0.6978 0.2889 0.6978  8 Pb 3.29-3.53
Bi5 0.6978 0.6978 0.2889  8 Pb 3.29-3.53
Bi6 0.7111 0.3022 0.3022  8 Pb 3.29-3.53
Pb1 0.1140 0.3462 0.3462  4 Bi 3.35-3.53, 1 Hg 3.40, 4 Pb 3.49
Pb2 0.1160 0.5000 0.8840  4 Bi 3.29-3.36, 5 Pb 3.48-3.64
Pb3 0.1160 0.8840 0.5000  4 Bi 3.29-3.36, 5 Pb 3.48-3.64
Pb4 0.3462 0.1140 0.3462  4 Bi 3.35-3.53, 1 Hg 3.40, 4 Pb 3.49
Pb5 0.3462 0.3462 0.1140  4 Bi 3.35-3.53, 1 Hg 3.40, 4 Pb 3.49
Pb6 0.5000 0.1160 0.8840  4 Bi 3.29-3.36, 5 Pb 3.48-3.64
Pb7 0.5000 0.8840 0.1160  4 Bi 3.29-3.36, 5 Pb 3.48-3.64
Pb8 0.6538 0.6538 0.8860  4 Bi 3.35-3.53, 1 Hg 3.40, 4 Pb 3.49
Pb9 0.6538 0.8860 0.6538  4 Bi 3.35-3.53, 1 Hg 3.40, 4 Pb 3.49
Pb10 0.8840 0.1160 0.5000  4 Bi 3.29-3.36, 5 Pb 3.48-3.64
Pb11 0.8840 0.5000 0.1160  4 Bi 3.29-3.36, 5 Pb 3.48-3.64
Pb12 0.8860 0.6538 0.6538  4 Bi 3.35-3.53, 1 Hg 3.40, 4 Pb 3.49

Results
Its space group is R-3m. Its theoretical density is 9.87 g/cm3. For the density of states at the Fermi level, the calculation gives 0.46 states/eV/atom.



--- two ---
The following is a PBE-GGA calculation of HgBi6Pb12 after structural relaxation, from Alexandria via LeMat-Bulk.

Lattice parameters (Å, degrees): 8.5411 8.5411 8.5411 93.19 93.19 93.19
With the nearest neighbours (Å) after each atom.
Fractional positions:
Hg1 0.0000 0.0000 0.0000  6 Pb 3.28, 6 Bi 3.60
Bi1 0.1333 0.2940 0.7432  8 Pb 3.35-3.69, 1 Hg 3.60
Bi2 0.2568 0.8667 0.7060  8 Pb 3.35-3.69, 1 Hg 3.60
Bi3 0.2940 0.7432 0.1333  8 Pb 3.35-3.69, 1 Hg 3.60
Bi4 0.7060 0.2568 0.8667  8 Pb 3.35-3.69, 1 Hg 3.60
Bi5 0.7432 0.1333 0.2940  8 Pb 3.35-3.69, 1 Hg 3.60
Bi6 0.8667 0.7060 0.2568  8 Pb 3.35-3.69, 1 Hg 3.60
Pb1 0.0179 0.3672 0.1382  1 Hg 3.28, 2 Pb 3.34-3.38, 4 Bi 3.36-3.60
Pb2 0.1382 0.0179 0.3672  1 Hg 3.28, 2 Pb 3.34-3.38, 4 Bi 3.36-3.60
Pb3 0.2063 0.5404 0.4606  4 Pb 3.34-3.66, 4 Bi 3.35-3.69
Pb4 0.3672 0.1382 0.0179  1 Hg 3.28, 2 Pb 3.34-3.38, 4 Bi 3.36-3.60
Pb5 0.4596 0.5394 0.7937  4 Pb 3.34-3.66, 4 Bi 3.35-3.69
Pb6 0.4606 0.2063 0.5404  4 Pb 3.34-3.66, 4 Bi 3.35-3.69
Pb7 0.5394 0.7937 0.4596  4 Pb 3.34-3.66, 4 Bi 3.35-3.69
Pb8 0.5404 0.4606 0.2063  4 Pb 3.34-3.66, 4 Bi 3.35-3.69
Pb9 0.6328 0.8618 0.9821  1 Hg 3.28, 2 Pb 3.34-3.38, 4 Bi 3.36-3.60
Pb10 0.7937 0.4596 0.5394  4 Pb 3.34-3.66, 4 Bi 3.35-3.69
Pb11 0.8618 0.9821 0.6328  1 Hg 3.28, 2 Pb 3.34-3.38, 4 Bi 3.36-3.60
Pb12 0.9821 0.6328 0.8618  1 Hg 3.28, 2 Pb 3.34-3.38, 4 Bi 3.36-3.60

Results
Its space group is R-3. Its theoretical density is 10.55 g/cm3. For the density of states at the Fermi level, the calculation gives 0.51 states/eV/atom.



What are the relative energies? In meV/atom: one 28; two 0.



--- one ---
The following is a PBE-GGA calculation of Hg3Bi2Pb3 after structural relaxation, from Alexandria via LeMat-Bulk.

Lattice parameters (Å, degrees): 6.2401 6.2401 6.2401 89.08 89.08 89.08
With the nearest neighbours (Å) after each atom.
Fractional positions:
Hg1 0.0000 0.2436 0.7564  2 Pb 3.12, 2 Bi 3.48
Hg2 0.2436 0.7564 0.0000  2 Pb 3.12, 2 Bi 3.48
Hg3 0.7564 0.0000 0.2436  2 Pb 3.12, 2 Bi 3.48
Bi1 0.2575 0.2575 0.2575  6 Pb 3.45-3.48, 6 Hg 3.48-3.54
Bi2 0.7425 0.7425 0.7425  6 Pb 3.45-3.48, 6 Hg 3.48-3.54
Pb1 0.2490 0.7510 0.5000  2 Hg 3.12, 4 Bi 3.45-3.48
Pb2 0.5000 0.2490 0.7510  2 Hg 3.12, 4 Bi 3.45-3.48
Pb3 0.7510 0.5000 0.2490  2 Hg 3.12, 4 Bi 3.45-3.48

Results
Its space group is R32. Its theoretical density is 11.22 g/cm3. For the density of states at the Fermi level, the calculation gives 0.47 states/eV/atom.



--- two ---
The following is a PBE-GGA calculation of Hg3Bi2Pb3 after structural relaxation, from Alexandria via LeMat-Bulk.

Lattice parameters (Å, degrees): 10.7925 10.7925 10.7925 156.00 152.42 36.88
With the nearest neighbours (Å) after each atom.
Fractional positions:
Hg1 0.0000 0.0000 0.0000  8 Pb 3.41-3.45, 4 Hg 3.54
Hg2 0.3809 0.8809 0.5000  6 Pb 3.31-3.42, 2 Bi 3.44, 2 Hg 3.54
Hg3 0.6191 0.1191 0.5000  6 Pb 3.31-3.42, 2 Bi 3.44, 2 Hg 3.54
Bi1 0.2532 0.2532 0.0000  4 Pb 3.41-3.54, 4 Bi 3.42, 4 Hg 3.44-3.76
Bi2 0.7468 0.7468 0.0000  4 Pb 3.41-3.54, 4 Bi 3.42, 4 Hg 3.44-3.76
Pb1 0.1277 0.6277 0.5000  4 Bi 3.41-3.54, 6 Hg 3.42-3.45, 2 Pb 3.67
Pb2 0.5000 0.5000 0.0000  8 Hg 3.31-3.41, 4 Pb 3.67
Pb3 0.8723 0.3723 0.5000  4 Bi 3.41-3.54, 6 Hg 3.42-3.45, 2 Pb 3.67

Results
Its space group is Immm. Its theoretical density is 11.53 g/cm3. For the density of states at the Fermi level, the calculation gives 0.45 states/eV/atom.



What are the relative energies? In meV/atom: one 8; two 0.



--- one ---
The following is a PBE-GGA calculation of HgBi4Pb4 after structural relaxation, from Alexandria via LeMat-Bulk.

Lattice parameters (Å, degrees): 8.0053 8.0053 8.0053 95.19 95.19 145.00
With the nearest neighbours (Å) after each atom.
Fractional positions:
Hg1 0.0000 0.0000 0.0000  8 Pb 3.46, 4 Bi 3.59
Bi1 0.0000 0.3322 0.3322  6 Pb 3.50-3.64, 5 Bi 3.52-3.62, 1 Hg 3.59
Bi2 0.0000 0.6678 0.6678  6 Pb 3.50-3.64, 5 Bi 3.52-3.62, 1 Hg 3.59
Bi3 0.3322 0.0000 0.3322  6 Pb 3.50-3.64, 5 Bi 3.52-3.62, 1 Hg 3.59
Bi4 0.6678 0.0000 0.6678  6 Pb 3.50-3.64, 5 Bi 3.52-3.62, 1 Hg 3.59
Pb1 0.3368 0.3368 0.6737  2 Hg 3.46, 6 Bi 3.50-3.64, 4 Pb 3.52-3.58
Pb2 0.3368 0.6632 0.0000  2 Hg 3.46, 6 Bi 3.50-3.64, 4 Pb 3.52-3.58
Pb3 0.6632 0.3368 0.0000  2 Hg 3.46, 6 Bi 3.50-3.64, 4 Pb 3.52-3.58
Pb4 0.6632 0.6632 0.3263  2 Hg 3.46, 6 Bi 3.50-3.64, 4 Pb 3.52-3.58

Results
Its space group is I4/mmm. Its theoretical density is 11.04 g/cm3. For the density of states at the Fermi level, the calculation gives 0.55 states/eV/atom.



--- two ---
The following is a PBE-GGA calculation of HgBi4Pb4 after structural relaxation, from Alexandria via LeMat-Bulk.

Lattice parameters (Å, degrees): 7.2636 7.2636 12.2943 90.00 90.00 90.00
With the nearest neighbours (Å) after each atom.
Fractional positions:
Hg1 0.2500 0.7500 0.2500  8 Pb 4.07, 4 Bi 4.19
Hg2 0.7500 0.2500 0.7500  8 Pb 4.07, 4 Bi 4.19
Bi1 0.0271 0.2500 0.0488  1 Bi 3.24, 5 Pb 3.25-3.55
Bi2 0.2500 0.0271 0.5488  1 Bi 3.24, 5 Pb 3.25-3.55
Bi3 0.2500 0.4729 0.5488  1 Bi 3.24, 5 Pb 3.25-3.55
Bi4 0.4729 0.2500 0.0488  1 Bi 3.24, 5 Pb 3.25-3.55
Bi5 0.5271 0.7500 0.9512  1 Bi 3.24, 5 Pb 3.25-3.55
Bi6 0.7500 0.5271 0.4512  1 Bi 3.24, 5 Pb 3.25-3.55
Bi7 0.7500 0.9729 0.4512  1 Bi 3.24, 5 Pb 3.25-3.55
Bi8 0.9729 0.7500 0.9512  1 Bi 3.24, 5 Pb 3.25-3.55
Pb1 0.0316 0.2500 0.3264  3 Pb 3.17-3.45, 5 Bi 3.25-3.55
Pb2 0.2500 0.0316 0.8264  3 Pb 3.17-3.45, 5 Bi 3.25-3.55
Pb3 0.2500 0.4684 0.8264  3 Pb 3.17-3.45, 5 Bi 3.25-3.55
Pb4 0.4684 0.2500 0.3264  3 Pb 3.17-3.45, 5 Bi 3.25-3.55
Pb5 0.5316 0.7500 0.6736  3 Pb 3.17-3.45, 5 Bi 3.25-3.55
Pb6 0.7500 0.5316 0.1736  3 Pb 3.17-3.45, 5 Bi 3.25-3.55
Pb7 0.7500 0.9684 0.1736  3 Pb 3.17-3.45, 5 Bi 3.25-3.55
Pb8 0.9684 0.7500 0.6736  3 Pb 3.17-3.45, 5 Bi 3.25-3.55

Results
Its space group is P4_2/nmc. Its theoretical density is 9.55 g/cm3. For the density of states at the Fermi level, the calculation gives 0.49 states/eV/atom.



What are the relative energies? In meV/atom: one 0; two 81.



--- one ---
The following is a PBE-GGA calculation of Hg2Bi3Pb7 after structural relaxation, from Alexandria via LeMat-Bulk.

Lattice parameters (Å, degrees): 14.9851 14.9851 5.0764 90.00 90.00 159.30
With the nearest neighbours (Å) after each atom.
Fractional positions:
Hg1 0.1589 0.8411 0.0000  7 Pb 3.24-3.60
Hg2 0.8411 0.1589 0.0000  7 Pb 3.24-3.60
Bi1 0.3474 0.6526 0.5000  6 Pb 3.22-3.39
Bi2 0.5000 0.5000 0.5000  12 Pb 3.42-3.70
Bi3 0.6526 0.3474 0.5000  6 Pb 3.22-3.39
Pb1 0.0000 0.0000 0.0000  8 Pb 3.52-3.54, 4 Bi 3.70
Pb2 0.0829 0.9171 0.5000  2 Hg 3.39, 4 Bi 3.39-3.64, 6 Pb 3.52-3.70
Pb3 0.2802 0.7198 0.0000  2 Bi 3.22, 2 Pb 3.23, 3 Hg 3.24-3.58
Pb4 0.4222 0.5778 0.0000  4 Bi 3.36-3.42, 6 Pb 3.54-3.70, 2 Hg 3.60
Pb5 0.5778 0.4222 0.0000  4 Bi 3.36-3.42, 6 Pb 3.54-3.70, 2 Hg 3.60
Pb6 0.7198 0.2802 0.0000  2 Bi 3.22, 2 Pb 3.23, 3 Hg 3.24-3.58
Pb7 0.9171 0.0829 0.5000  2 Hg 3.39, 4 Bi 3.39-3.64, 6 Pb 3.52-3.70

Results
Its space group is Cmmm. Its theoretical density is 10.21 g/cm3. For the density of states at the Fermi level, the calculation gives 0.47 states/eV/atom.



--- two ---
The following is a PBE-GGA calculation of Hg2Bi3Pb7 after structural relaxation, from Alexandria via LeMat-Bulk.

Lattice parameters (Å, degrees): 6.3230 3.4303 17.5312 90.00 98.76 90.00
With the nearest neighbours (Å) after each atom.
Fractional positions:
Hg1 0.2080 0.0000 0.3188  5 Pb 3.15-3.43, 2 Bi 3.30, 2 Hg 3.43
Hg2 0.7920 0.0000 0.6812  5 Pb 3.15-3.43, 2 Bi 3.30, 2 Hg 3.43
Bi1 0.2394 0.5000 0.4812  4 Bi 3.20-3.43, 2 Hg 3.30, 2 Pb 3.45
Bi2 0.5000 0.0000 0.0000  2 Bi 3.43, 10 Pb 3.44-3.65
Bi3 0.7606 0.5000 0.5188  4 Bi 3.20-3.43, 2 Hg 3.30, 2 Pb 3.45
Pb1 0.0000 0.5000 0.0000  8 Pb 3.43-3.69, 4 Bi 3.60
Pb2 0.1200 0.0000 0.8370  1 Hg 3.17, 7 Pb 3.43-3.53, 1 Bi 3.44
Pb3 0.2875 0.0000 0.6540  2 Hg 3.15-3.24, 3 Pb 3.43-3.53, 2 Bi 3.45
Pb4 0.4062 0.5000 0.1754  9 Pb 3.43-3.72, 2 Hg 3.43, 2 Bi 3.65
Pb5 0.5938 0.5000 0.8246  9 Pb 3.43-3.72, 2 Hg 3.43, 2 Bi 3.65
Pb6 0.7125 0.0000 0.3460  2 Hg 3.15-3.24, 3 Pb 3.43-3.53, 2 Bi 3.45
Pb7 0.8800 0.0000 0.1630  1 Hg 3.17, 7 Pb 3.43-3.53, 1 Bi 3.44

Results
Its space group is P2/m. Its theoretical density is 10.95 g/cm3. For the density of states at the Fermi level, the calculation gives 0.44 states/eV/atom.



What are the relative energies? In meV/atom: one 12; two 0.